Computed, not measured: crystalline SmHoCuSe3 at its relaxed geometry at the PBE-GGA level of DFT.

## Properties
Its energy above the most stable polymorph in this dataset is 0 meV/atom.

Cell and atoms, written as CIF:
```
data_SmHoCuSe3
_chemical_formula_sum 'Sm2 Ho2 Cu2 Se6'
_cell_length_a 7.8901
_cell_length_b 3.9411
_cell_length_c 9.3163
_cell_angle_alpha 90.00
_cell_angle_beta 102.95
_cell_angle_gamma 90.00
_symmetry_space_group_name_H-M 'P 1 21/m 1'
_symmetry_Int_Tables_number 11
loop_
_symmetry_equiv_pos_as_xyz
'x,y,z'
'-x,-y,-z'
'-x,y+1/2,-z'
'x,-y+1/2,z'
loop_
_atom_site_label
_atom_site_fract_x
_atom_site_fract_y
_atom_site_fract_z
Sm1 0.2064 0.2500 0.2748
Ho1 0.3167 0.7500 0.8340
Cu1 0.0780 0.2500 0.5804
Se1 0.0648 0.2500 0.8445
Se2 0.2643 0.7500 0.5232
Se3 0.4181 0.7500 0.1530
```

=====

Computed, not measured: crystalline LiTbHgO3 at its relaxed geometry at the PBE-GGA level of DFT.

Cell and atoms, written as CIF:
```
data_LiTbHgO3
_chemical_formula_sum 'Li4 Tb4 Hg4 O12'
_cell_length_a 3.4083
_cell_length_b 9.9548
_cell_length_c 8.9819
_cell_angle_alpha 90.00
_cell_angle_beta 90.00
_cell_angle_gamma 90.00
_symmetry_space_group_name_H-M 'C m c m'
_symmetry_Int_Tables_number 63
_symmetry_space_group_name_Hall '-C 2c 2'
loop_
_atom_site_label
_atom_site_fract_x
_atom_site_fract_y
_atom_site_fract_z
Li1 0.0000 0.0211 0.2500
Tb1 0.0000 0.5000 0.0000
Hg1 0.0000 0.2536 0.7500
O1 0.0000 0.1286 0.0826
O2 0.0000 0.4238 0.2500
```

=====

Table of DFT total energy (eV/f.u.), in record order: -31.93 -32.69